No. 1
Material: Li2GaHgH
Method: DFT, GGA-PBE
State: relaxed

CIF file:
```
data_Li2GaHgH
_chemical_formula_sum 'Li2 Ga1 Hg1 H1'
_space_group_name_H-M_alt 'P 1'
_space_group_IT_number 1
_cell_length_a 4.1841
_cell_length_b 4.1841
_cell_length_c 3.9855
_cell_angle_alpha 90.00
_cell_angle_beta 90.00
_cell_angle_gamma 90.00
loop_
_space_group_symop_operation_xyz
'x,y,z'
loop_
_atom_site_label
_atom_site_type_symbol
_atom_site_fract_x
_atom_site_fract_y
_atom_site_fract_z
_atom_site_occupancy
Li1 Li 0.0000 0.5000 0.0000 1
Ga1 Ga 0.0000 0.0000 0.5000 1
Li2 Li 0.5000 0.0000 0.0000 1
H1 H 0.0000 0.0000 0.0000 1
Hg1 Hg 0.5000 0.5000 0.5000 1
```

Values from the calculation:
SG = No. 123
size of the total moment = 0.0 μB/f.u.

***

No. 2
Material: Li2GaHgH
Method: DFT, GGA-PBE
State: relaxed

CIF file:
```
data_Li2GaHgH
_chemical_formula_sum 'Li2 Ga1 Hg1 H1'
_space_group_name_H-M_alt 'P 1'
_space_group_IT_number 1
_cell_length_a 4.2120
_cell_length_b 4.2120
_cell_length_c 4.0776
_cell_angle_alpha 90.00
_cell_angle_beta 90.00
_cell_angle_gamma 90.00
loop_
_space_group_symop_operation_xyz
'x,y,z'
loop_
_atom_site_label
_atom_site_type_symbol
_atom_site_fract_x
_atom_site_fract_y
_atom_site_fract_z
_atom_site_occupancy
H1 H 0.0000 0.0000 0.0000 1
Ga1 Ga 0.5000 0.5000 0.5000 1
Li1 Li 0.0000 0.5000 0.0000 1
Li2 Li 0.5000 0.0000 0.0000 1
Hg1 Hg 0.0000 0.0000 0.5000 1
```

Values from the calculation:
SG = No. 123
size of the total moment = 0.0 μB/f.u.

***

no.,E_tot (eV per atom),energy relative to the lowest polymorph listed for this composition (kcal/mol of atoms),N(E_F) (states/eV/f.u.)
1,-2.2897,0.00,0.9
2,-2.2231,1.54,1.4